Entry P
DFT (PBE) results for a relaxed structure of Th2SiPd.

Properties
- Space-group type: No. 166

extended XYZ file:
```
4
Lattice="3.813 0.000 0.000 1.906 3.302 0.000 1.906 1.101 9.137" Properties=species:S:1:pos:R:3 pbc="T T T"
Si 3.813 2.201 4.569
Pd 0.000 0.000 0.000
Th 1.906 1.101 6.412
Th 5.719 3.302 2.725
```

Entry Q
DFT (PBE) results for a relaxed structure of Th2SiPd.

Properties
- Space-group type: No. 11

extended XYZ file:
```
8
Lattice="-2.154 -2.520 2.488 5.132 -2.660 1.749 -1.808 6.476 4.993" Properties=species:S:1:pos:R:3 pbc="T T T"
Th -1.309 0.375 4.426
Th 2.478 0.921 4.805
Th 3.385 -2.185 2.444
Th -2.215 3.481 6.786
Si 0.826 -0.193 2.246
Si 0.343 1.489 6.984
Pd 1.067 -1.728 4.352
Pd 0.103 3.025 4.879
```

Relative stability in kJ/mol of atoms, measured from the most stable structure: entry P 65.7; entry Q 0.0

Entry P
DFT (PBE) results for a relaxed structure of TiSiPd5.

Properties
- Space-group type: No. 123

extended XYZ file:
```
7
Lattice="-2.199 1.402 2.986 2.866 -0.965 2.564 2.812 6.164 -0.824" Properties=species:S:1:pos:R:3 pbc="T T T"
Ti 1.406 3.082 -0.412
Si 0.334 0.219 2.775
Pd 3.642 4.360 0.635
Pd 2.036 0.839 1.105
Pd 1.110 5.544 0.846
Pd -0.497 2.022 1.316
Pd 1.740 3.301 2.363
```

Entry Q
DFT (PBE) results for a relaxed structure of TiSiPd5.

Properties
- Space-group type: No. 15

extended XYZ file:
```
14
Lattice="0.247 0.461 -6.371 -4.745 -4.015 -1.491 -5.792 3.174 -3.014" Properties=species:S:1:pos:R:3 pbc="T T T"
Ti -3.544 -0.847 -4.833
Ti -6.745 0.466 -6.042
Si 0.000 0.000 0.000
Si -2.896 1.587 -1.507
Pd -5.483 -1.796 -6.107
Pd -5.711 -0.948 -3.444
Pd -7.564 0.522 -8.411
Pd -2.057 0.486 -6.287
Pd -3.998 -3.096 -3.662
Pd -6.291 2.715 -7.214
Pd -8.232 -0.867 -4.589
Pd -2.725 -0.902 -2.465
Pd -4.578 0.568 -7.432
Pd -4.806 1.416 -4.769
```

Relative stability in kJ/mol of atoms, measured from the most stable structure: entry P 0.0; entry Q 47.6

Entry P
DFT (PBE) results for a relaxed structure of Ti3SiPd.

Properties
- Space-group type: No. 221

extended XYZ file:
```
5
Lattice="-3.741 -2.611 -1.124 2.782 -3.744 -0.561 -0.584 -1.113 4.527" Properties=species:S:1:pos:R:3 pbc="T T T"
Si -0.771 -3.734 1.421
Pd 0.000 0.000 0.000
Ti 1.391 -1.872 -0.281
Ti -0.292 -0.556 2.264
Ti -1.870 -1.306 -0.562
```

Entry Q
DFT (PBE) results for a relaxed structure of Ti3SiPd.

Properties
- Space-group type: No. 221

extended XYZ file:
```
5
Lattice="4.570 0.000 0.000 0.000 4.570 0.000 0.000 0.000 4.570" Properties=species:S:1:pos:R:3 pbc="T T T"
Si 0.000 0.000 0.000
Pd 2.285 2.285 2.285
Ti 0.000 2.285 0.000
Ti 0.000 0.000 2.285
Ti 2.285 0.000 0.000
```

Relative stability in kJ/mol of atoms, measured from the most stable structure: entry P 28.4; entry Q 0.0